This record from the Alexandria database describes an optimized crystal structure of Nd5Ni2Te2. The functional is PBE.

POSCAR file:
```
Nd5Ni2Te2
1.0
-6.759 -3.372 2.238
3.749 -7.043 0.709
-1.689 -0.019 8.738
Nd Ni Te
10 4 4
Cartesian
0.000 0.000 0.000
-1.505 -5.208 1.473
-3.818 -2.700 7.795
-3.379 -8.552 8.978
-0.679 -5.590 7.731
-6.519 -5.662 9.043
-0.881 -7.734 3.889
-1.320 -1.883 2.707
-4.021 -4.844 3.954
1.820 -4.773 2.642
0.508 -3.094 0.564
-3.519 -7.321 2.383
0.803 -7.404 1.442
-3.813 -3.011 1.505
-2.383 -0.703 5.610
-3.888 -5.911 7.084
-6.065 -2.688 5.366
-0.811 -4.523 4.601
```

---

This record from the Alexandria database describes an optimized crystal structure of Nd2NiTe. The functional is PBE.

POSCAR file:
```
Nd2NiTe
1.0
-3.203 -3.161 -0.474
0.924 -1.506 3.803
-8.195 7.883 2.802
Nd Ni Te
4 2 2
Cartesian
-4.416 -0.841 3.052
-6.058 4.057 3.079
-8.803 3.203 5.720
-1.671 0.012 0.411
-8.077 5.918 4.307
-2.397 -2.703 1.824
-3.811 1.985 1.712
-6.663 1.230 4.418
```

Summary:
As for the relative energy among the computed polymorphs: 0.000 eV per atom.

---

Density of states at the Fermi level values (in states/eV/cell) by entry order: 16.69 6.96.
E_form (uncorrected) values (in meV per atom) by entry order: -732 -798.